(1)
{"formula": "Sc2TcSe", "functional": "PBE", "state": "relaxed", "lattice": [[4.274, 0.000, 0.000], [0.000, 3.500, 0.000], [0.000, 0.000, 9.944]], "species": ["Sc", "Sc", "Sc", "Sc", "Tc", "Tc", "Se", "Se"], "fractional_positions": [[0.000, 0.000, 0.000], [0.000, 0.500, 0.500], [0.500, 0.000, 0.288], [0.500, 0.500, 0.788], [0.000, 0.000, 0.734], [0.000, 0.500, 0.234], [0.500, 0.000, 0.567], [0.500, 0.500, 0.067]], "crystal_system": "orthorhombic", "formation_energy_uncorrected_ev_per_fu": -2.77}

=====

(2)
{"formula": "Sc2TcSe", "functional": "PBE", "state": "relaxed", "lattice": [[6.538, 0.000, 0.000], [0.000, 6.538, 0.000], [0.000, 0.000, 6.538]], "species": ["Sc", "Sc", "Sc", "Sc", "Sc", "Sc", "Sc", "Sc", "Tc", "Tc", "Tc", "Tc", "Se", "Se", "Se", "Se"], "fractional_positions": [[0.000, 0.000, 0.000], [0.000, 0.500, 0.500], [0.250, 0.250, 0.250], [0.250, 0.750, 0.750], [0.500, 0.000, 0.500], [0.500, 0.500, 0.000], [0.750, 0.250, 0.750], [0.750, 0.750, 0.250], [0.000, 0.000, 0.500], [0.000, 0.500, 0.000], [0.500, 0.000, 0.000], [0.500, 0.500, 0.500], [0.250, 0.250, 0.750], [0.250, 0.750, 0.250], [0.750, 0.250, 0.250], [0.750, 0.750, 0.750]], "crystal_system": "cubic", "formation_energy_uncorrected_ev_per_fu": -0.62}

=====

(3)
{"formula": "Sc2TcSe", "functional": "PBE", "state": "relaxed", "lattice": [[8.631, 0.000, 0.000], [0.000, 3.564, 0.000], [-1.578, 0.000, 4.773]], "species": ["Sc", "Sc", "Sc", "Sc", "Tc", "Tc", "Se", "Se"], "fractional_positions": [[0.244, 0.000, 0.245], [0.256, 0.500, 0.755], [0.744, 0.500, 0.245], [0.756, 0.000, 0.755], [0.000, 0.000, 0.500], [0.500, 0.500, 0.500], [0.000, 0.500, 0.000], [0.500, 0.000, 0.000]], "crystal_system": "monoclinic", "formation_energy_uncorrected_ev_per_fu": -1.49}

=====

(4)
{"formula": "Sc2TcSe", "functional": "PBE", "state": "relaxed", "lattice": [[3.449, 0.000, 0.000], [-1.725, 2.987, 0.000], [0.000, 0.000, 22.540]], "species": ["Sc", "Sc", "Sc", "Sc", "Sc", "Sc", "Tc", "Tc", "Tc", "Se", "Se", "Se"], "fractional_positions": [[0.000, 0.000, 0.249], [0.000, 0.000, 0.751], [0.333, 0.667, 0.417], [0.333, 0.667, 0.916], [0.667, 0.333, 0.084], [0.667, 0.333, 0.583], [0.000, 0.000, 0.000], [0.333, 0.667, 0.667], [0.667, 0.333, 0.333], [0.000, 0.000, 0.500], [0.333, 0.667, 0.167], [0.667, 0.333, 0.833]], "crystal_system": "trigonal", "formation_energy_uncorrected_ev_per_fu": -2.66}

=====

(5)
{"formula": "ScTe2Se", "functional": "PBE", "state": "relaxed", "lattice": [[13.733, 0.000, 0.000], [0.000, 3.615, 0.000], [-0.444, 0.000, 4.588]], "species": ["Sc", "Sc", "Te", "Te", "Te", "Te", "Se", "Se"], "fractional_positions": [[0.000, 0.000, 0.000], [0.500, 0.500, 0.000], [0.169, 0.500, 0.183], [0.331, 0.000, 0.817], [0.669, 0.000, 0.183], [0.831, 0.500, 0.817], [0.000, 0.500, 0.500], [0.500, 0.000, 0.500]], "crystal_system": "monoclinic", "formation_energy_uncorrected_ev_per_fu": -2.56}

=====

(6)
{"formula": "ScTe2Se", "functional": "PBE", "state": "relaxed", "lattice": [[5.102, 0.000, 0.000], [0.000, 4.435, 0.000], [-2.544, 0.000, 5.477]], "species": ["Sc", "Te", "Te", "Se"], "fractional_positions": [[0.000, 0.000, 0.000], [0.185, 0.500, 0.369], [0.815, 0.500, 0.631], [0.500, 0.000, 0.000]], "crystal_system": "monoclinic", "formation_energy_uncorrected_ev_per_fu": -2.89}

=====

no.,DOS(E_F) (states/eV/f.u.)
1,4.8
2,3.6
3,2.3
4,2.7
5,2.4
6,2.1